Crystalline ScSbTe2S at its relaxed geometry, computed with PBE.

Properties
Final energy: -3.87 eV/atom
ΔE_f (raw): 29 kJ per mole of atoms
Relative energy among the computed polymorphs: 150 meV per atom

Cell and atoms, written as POSCAR:
```
ScSbTe2S
1.0
5.390 0.000 0.000
0.000 5.390 0.000
0.000 0.000 5.613
Sc Sb Te S
1 1 2 1
Cartesian
0.000 0.000 0.000 Sc
0.000 0.000 2.806 Sb
0.000 2.695 0.000 Te
2.695 0.000 0.000 Te
2.695 2.695 2.806 S
```